1.
The following is a DFT calculation (PBE) of a geometry-optimized Al4CdSn structure.

Crystal system: cubic
Energy of formation, meV/atom: 173
Space group: No. 216

Cell: 5.572 5.572 5.572 Å, 60.00 60.00 60.00°
Atoms (fractional coordinates):
Al: 0.625 0.625 0.124
Al: 0.625 0.124 0.625
Al: 0.625 0.625 0.625
Al: 0.124 0.625 0.625
Sn: 0.250 0.250 0.250
Cd: 0.000 0.000 0.000

***

2.
The following is a DFT calculation (PBE) of a geometry-optimized RbLiMn2Br6 structure.

Formation energy (no corrections), eV/atom: -1.11
Crystal system: monoclinic
Space group: No. 15

Cell: 8.036 10.098 10.098 Å, 90.16 74.95 74.95°
Atoms (fractional coordinates):
Rb: 0.250 0.876 0.124
Rb: 0.750 0.124 0.876
Li: 0.250 0.211 0.789
Li: 0.750 0.789 0.211
Mn: 0.316 0.765 0.616
Mn: 0.184 0.384 0.235
Mn: 0.684 0.235 0.384
Mn: 0.816 0.616 0.765
Br: 0.196 0.964 0.795
Br: 0.304 0.205 0.036
Br: 0.804 0.036 0.205
Br: 0.696 0.795 0.964
Br: 0.449 0.838 0.387
Br: 0.051 0.613 0.162
Br: 0.551 0.162 0.613
Br: 0.949 0.387 0.838
Br: 0.042 0.698 0.582
Br: 0.458 0.418 0.302
Br: 0.958 0.302 0.418
Br: 0.542 0.582 0.698

***

3.
The following is a DFT calculation (PBE) of a geometry-optimized HoTl3Pd7 structure.

Crystal system: monoclinic
Energy of formation, meV/atom: -232
Space group: No. 12

Cell: 5.609 7.454 7.454 Å, 82.16 121.83 121.83°
Atoms (fractional coordinates):
Ho: 0.500 0.500 0.500
Tl: 0.000 0.773 0.227
Tl: 0.500 0.000 0.000
Tl: 0.000 0.227 0.773
Pd: 0.352 0.201 0.201
Pd: 0.329 0.068 0.585
Pd: 0.671 0.415 0.932
Pd: 0.329 0.585 0.068
Pd: 0.000 0.500 0.500
Pd: 0.671 0.932 0.415
Pd: 0.648 0.799 0.799

***

4.
The following is a DFT calculation (PBE) of a geometry-optimized SiHg2Sb structure.

Formation energy (no corrections), eV/atom: 0.42
Crystal system: tetragonal
Space group: No. 123
Energy above the most stable polymorph in this dataset, eV/f.u.: 1.00

Cell: 4.327 4.327 5.003 Å, 90.00 90.00 90.00°
Atoms (fractional coordinates):
Hg: 0.000 0.000 0.000
Hg: 0.500 0.500 0.000
Sb: 0.500 0.000 0.500
Si: 0.000 0.500 0.500

***

5.
The following is a DFT calculation (PBE) of a geometry-optimized CsScOF2 structure.

Formation energy (no corrections), eV/atom: -3.18
Crystal system: tetragonal
Space group: No. 123
Energy above the most stable polymorph in this dataset, eV/f.u.: 0.00

Cell: 4.466 4.466 4.064 Å, 90.00 90.00 90.00°
Atoms (fractional coordinates):
Cs: 0.500 0.500 0.500
Sc: 0.000 0.000 0.000
O: 0.000 0.000 0.500
F: 0.000 0.500 0.000
F: 0.500 0.000 0.000

***

6.
The following is a DFT calculation (PBE) of a geometry-optimized AlAg2Bi structure.

Crystal system: tetragonal
Energy of formation, meV/atom: 183
Space group: No. 122
Energy above the most stable polymorph in this dataset, eV/f.u.: 0.40

Cell: 4.447 4.447 9.853 Å, 76.96 76.96 90.00°
Atoms (fractional coordinates):
Bi: 0.000 0.000 0.000
Bi: 0.750 0.250 0.500
Ag: 0.576 0.125 0.250
Ag: 0.174 0.625 0.250
Ag: 0.375 0.424 0.750
Ag: 0.875 0.826 0.750
Al: 0.500 0.500 0.000
Al: 0.250 0.750 0.500

***

7.
The following is a DFT calculation (PBE) of a geometry-optimized TiTlGaCl6 structure.

Formation energy (no corrections), eV/atom: -1.23
Crystal system: trigonal
Space group: No. 149

Cell: 7.277 7.277 6.076 Å, 89.98 89.97 60.00°
Atoms (fractional coordinates):
Ti: 0.333 0.333 0.500
Tl: 0.667 0.667 0.500
Ga: 0.000 0.000 0.000
Cl: 0.075 0.320 0.273
Cl: 0.320 0.075 0.727
Cl: 0.605 0.320 0.727
Cl: 0.075 0.605 0.727
Cl: 0.320 0.605 0.273
Cl: 0.605 0.075 0.273

***

8.
The following is a DFT calculation (PBE) of a geometry-optimized CaMnH5 structure.

Crystal system: tetragonal
Space group: No. 123
VASP energy, eV per atom: -4.03

Cell: 3.021 3.021 6.037 Å, 90.00 90.00 90.00°
Atoms (fractional coordinates):
Ca: 0.000 0.000 0.000
Mn: 0.000 0.000 0.500
H: 0.500 0.500 0.000
H: 0.500 0.000 0.341
H: 0.000 0.500 0.341
H: 0.500 0.000 0.659
H: 0.000 0.500 0.659

***

9.
The following is a DFT calculation (PBE) of a geometry-optimized ZrTe2Se structure.

Formation energy (no corrections), eV/atom: 0.04
Crystal system: tetragonal
Space group: No. 122

Cell: 6.817 6.817 8.042 Å, 64.92 64.92 90.00°
Atoms (fractional coordinates):
Te: 0.654 0.125 0.250
Te: 0.096 0.625 0.250
Te: 0.375 0.346 0.750
Te: 0.875 0.904 0.750
Se: 0.500 0.500 0.000
Se: 0.250 0.750 0.500
Zr: 0.000 0.000 0.000
Zr: 0.750 0.250 0.500

***

10.
The following is a DFT calculation (PBE) of a geometry-optimized BaScTe structure.

Formation energy (no corrections), eV/atom: -0.39
Crystal system: cubic
Space group: No. 216
Energy above the most stable polymorph in this dataset, eV/f.u.: 0.88

Cell: 5.395 5.395 5.395 Å, 60.00 60.00 60.00°
Atoms (fractional coordinates):
Ba: 0.000 0.000 0.000
Sc: 0.500 0.500 0.500
Te: 0.750 0.750 0.750

***

11.
The following is a DFT calculation (PBE) of a geometry-optimized SrCaTlIn structure.

Crystal system: cubic
Energy of formation, meV/atom: -433
Space group: No. 216

Cell: 5.634 5.634 5.634 Å, 60.00 60.00 60.00°
Atoms (fractional coordinates):
Sr: 0.750 0.750 0.750
Tl: 0.000 0.000 0.000
Ca: 0.250 0.250 0.250
In: 0.500 0.500 0.500

***

12.
The following is a DFT calculation (PBE) of a geometry-optimized Cs2MgGeRh structure.

Crystal system: tetragonal
Energy of formation, meV/atom: 919
Space group: No. 123

Cell: 7.041 4.852 7.041 Å, 90.00 90.00 90.00°
Atoms (fractional coordinates):
Cs: 0.000 0.000 0.500
Cs: 0.500 0.000 0.000
Ge: 0.000 0.500 0.000
Rh: 0.500 0.500 0.500
Mg: 0.000 0.000 0.000